Computed, not measured: Dy2UMnO8 after structural relaxation at the PBE with a Hubbard U level of DFT.

The space group is P2/m (No. 10) and the conventional cell measures 4.9762, 6.6672 and 4.9787 Å, with angles of 90.00, 92.27 and 90.00 degrees. The inequivalent atoms are Dy at (0.0000, 0.2348, 0.0000), U at (0.5000, 0.5000, 0.5000), Mn at (0.5000, 0.0000, 0.5000), O at (0.2065, 0.5000, 0.2044), O at (0.2241, 0.0000, 0.2231) and O at (0.3230, 0.2405, 0.6756).

The value obtained for the volume is 13.8 Å³ per atom. The value obtained for the total energy is -0.6196 Ry per atom. Its magnetization is 3.0 μB per cell. The value obtained for the theoretical density is 7505 kg/m3.